# Cd2PtCl

An optimized crystal structure of Cd2PtCl (PBE, Alexandria).

The value obtained for the magnetization is 0.0 μB per cell. For the distance to the lowest polymorph of the same formula, the calculation gives 0.345 eV/atom. The calculation puts the uncorrected formation energy at -7.4 kJ/mol of atoms.

```
data_Cd2PtCl
_chemical_formula_sum 'Cd4 Pt2 Cl2'
_cell_length_a 3.3234
_cell_length_b 6.8130
_cell_length_c 8.5600
_cell_angle_alpha 90.00
_cell_angle_beta 90.00
_cell_angle_gamma 90.00
_symmetry_space_group_name_H-M 'I m m m'
_symmetry_Int_Tables_number 71
_symmetry_space_group_name_Hall '-I 2 2'
loop_
_atom_site_label
_atom_site_type_symbol
_atom_site_fract_x
_atom_site_fract_y
_atom_site_fract_z
Cd1 Cd 0.0000 0.0000 0.2478
Pt1 Pt 0.0000 0.5000 0.5000
Cl1 Cl 0.0000 0.5000 0.0000
```